First-principles (GGA-PBE) data for a relaxed structure of BaSrTl, as listed in Alexandria.

Geometry as CIF:
```
data_BaSrTl
_space_group_name_H-M_alt 'P 1'
_space_group_IT_number 1
_space_group_name_Hall 'P 1'
_cell_length_a 5.880
_cell_length_b 5.880
_cell_length_c 4.380
_cell_angle_alpha 90.00
_cell_angle_beta 90.00
_cell_angle_gamma 120.00
loop_
_atom_site_label
_atom_site_type_symbol
_atom_site_fract_x
_atom_site_fract_y
_atom_site_fract_z
Ba1 Ba 0.000 0.000 0.968
Sr1 Sr 0.667 0.333 0.440
Tl1 Tl 0.333 0.667 0.592
```

Output
N(E_F) (states/eV/f.u.): 4.179
Raw total energy (eV per cell): -6.53
ΔE_f (eV per atom): -0.188
Total magnetic moment (μB/cell): 0.00
Calculated volume (A^3/atom): 43.71
Space-group type: No. 156

***

First-principles (GGA-PBE) data for a relaxed structure of Ba5SrTl, as listed in Alexandria.

Geometry as CIF:
```
data_Ba5SrTl
_space_group_name_H-M_alt 'P 1'
_space_group_IT_number 1
_space_group_name_Hall 'P 1'
_cell_length_a 6.048
_cell_length_b 6.048
_cell_length_c 10.914
_cell_angle_alpha 90.00
_cell_angle_beta 90.00
_cell_angle_gamma 90.00
loop_
_atom_site_label
_atom_site_type_symbol
_atom_site_fract_x
_atom_site_fract_y
_atom_site_fract_z
Ba1 Ba 0.000 0.500 0.815
Ba2 Ba 0.000 0.500 0.185
Ba3 Ba 0.500 0.000 0.815
Ba4 Ba 0.500 0.000 0.185
Ba5 Ba 0.500 0.500 0.500
Sr1 Sr 0.000 0.000 0.500
Tl1 Tl 0.500 0.500 0.000
```

Output
N(E_F) (states/eV/f.u.): 7.008
Raw total energy (eV per cell): -14.33
ΔE_f (eV per atom): -0.095
Total magnetic moment (μB/cell): 0.00
Calculated volume (A^3/atom): 57.03
Space-group type: No. 123

***

First-principles (GGA-PBE) data for a relaxed structure of Ba3Sr7Tl4, as listed in Alexandria.

Geometry as CIF:
```
data_Ba3Sr7Tl4
_space_group_name_H-M_alt 'P 1'
_space_group_IT_number 1
_space_group_name_Hall 'P 1'
_cell_length_a 5.702
_cell_length_b 10.677
_cell_length_c 11.471
_cell_angle_alpha 72.39
_cell_angle_beta 75.61
_cell_angle_gamma 74.51
loop_
_atom_site_label
_atom_site_type_symbol
_atom_site_fract_x
_atom_site_fract_y
_atom_site_fract_z
Ba1 Ba 0.308 0.180 0.205
Ba2 Ba 0.692 0.820 0.795
Ba3 Ba 0.000 0.500 0.500
Sr1 Sr 0.307 0.850 0.535
Sr2 Sr 0.493 0.241 0.774
Sr3 Sr 0.832 0.419 0.917
Sr4 Sr 0.693 0.150 0.465
Sr5 Sr 0.168 0.581 0.083
Sr6 Sr 0.000 0.000 0.000
Sr7 Sr 0.507 0.759 0.226
Tl1 Tl 0.673 0.427 0.227
Tl2 Tl 0.327 0.573 0.773
Tl3 Tl 0.893 0.884 0.329
Tl4 Tl 0.107 0.116 0.671
```

Output
N(E_F) (states/eV/f.u.): 20.672
Raw total energy (eV per cell): -30.23
ΔE_f (eV per atom): -0.230
Total magnetic moment (μB/cell): 0.01
Calculated volume (A^3/atom): 45.05
Space-group type: No. 12

***

First-principles (GGA-PBE) data for a relaxed structure of Ba3SrTl4, as listed in Alexandria.

Geometry as CIF:
```
data_Ba3SrTl4
_space_group_name_H-M_alt 'P 1'
_space_group_IT_number 1
_space_group_name_Hall 'P 1'
_cell_length_a 4.240
_cell_length_b 4.240
_cell_length_c 17.103
_cell_angle_alpha 90.00
_cell_angle_beta 90.00
_cell_angle_gamma 90.00
loop_
_atom_site_label
_atom_site_type_symbol
_atom_site_fract_x
_atom_site_fract_y
_atom_site_fract_z
Sr1 Sr 0.500 0.500 0.000
Tl1 Tl 0.000 0.000 0.890
Tl2 Tl 0.000 0.000 0.110
Tl3 Tl 0.000 0.000 0.376
Tl4 Tl 0.000 0.000 0.624
Ba1 Ba 0.500 0.500 0.244
Ba2 Ba 0.500 0.500 0.500
Ba3 Ba 0.500 0.500 0.756
```

Output
N(E_F) (states/eV/f.u.): 5.246
Raw total energy (eV per cell): -20.23
ΔE_f (eV per atom): -0.414
Total magnetic moment (μB/cell): 0.00
Calculated volume (A^3/atom): 38.43
Space-group type: No. 123

***

First-principles (GGA-PBE) data for a relaxed structure of Ba2SrTl10, as listed in Alexandria.

Geometry as CIF:
```
data_Ba2SrTl10
_space_group_name_H-M_alt 'P 1'
_space_group_IT_number 1
_space_group_name_Hall 'P 1'
_cell_length_a 6.468
_cell_length_b 9.830
_cell_length_c 16.160
_cell_angle_alpha 90.00
_cell_angle_beta 90.00
_cell_angle_gamma 90.00
loop_
_atom_site_label
_atom_site_type_symbol
_atom_site_fract_x
_atom_site_fract_y
_atom_site_fract_z
Ba1 Ba 0.500 0.297 0.895
Ba2 Ba 0.500 0.703 0.105
Ba3 Ba 0.500 0.797 0.605
Ba4 Ba 0.500 0.203 0.395
Sr1 Sr 0.000 0.500 0.500
Sr2 Sr 0.000 0.000 0.000
Tl1 Tl 0.000 0.162 0.514
Tl2 Tl 0.000 0.838 0.486
Tl3 Tl 0.000 0.662 0.986
Tl4 Tl 0.000 0.338 0.014
Tl5 Tl 0.000 0.987 0.672
Tl6 Tl 0.000 0.013 0.328
Tl7 Tl 0.262 0.170 0.166
Tl8 Tl 0.262 0.830 0.834
Tl9 Tl 0.738 0.670 0.334
Tl10 Tl 0.738 0.330 0.666
Tl11 Tl 0.738 0.830 0.834
Tl12 Tl 0.738 0.170 0.166
Tl13 Tl 0.262 0.330 0.666
Tl14 Tl 0.262 0.670 0.334
Tl15 Tl 0.000 0.834 0.179
Tl16 Tl 0.000 0.166 0.821
Tl17 Tl 0.000 0.334 0.321
Tl18 Tl 0.000 0.666 0.679
Tl19 Tl 0.000 0.513 0.172
Tl20 Tl 0.000 0.487 0.828
```

Output
N(E_F) (states/eV/f.u.): 7.114
Raw total energy (eV per cell): -60.70
ΔE_f (eV per atom): -0.089
Total magnetic moment (μB/cell): 0.00
Calculated volume (A^3/atom): 39.52
Space-group type: No. 55

***

First-principles (GGA-PBE) data for a relaxed structure of BaSrTl, as listed in Alexandria.

Geometry as CIF:
```
data_BaSrTl
_space_group_name_H-M_alt 'P 1'
_space_group_IT_number 1
_space_group_name_Hall 'P 1'
_cell_length_a 5.868
_cell_length_b 5.868
_cell_length_c 5.868
_cell_angle_alpha 60.00
_cell_angle_beta 60.00
_cell_angle_gamma 60.00
loop_
_atom_site_label
_atom_site_type_symbol
_atom_site_fract_x
_atom_site_fract_y
_atom_site_fract_z
Sr1 Sr 0.500 0.500 0.500
Tl1 Tl 0.750 0.750 0.750
Ba1 Ba 0.000 0.000 0.000
```

Output
N(E_F) (states/eV/f.u.): 4.248
Raw total energy (eV per cell): -6.63
ΔE_f (eV per atom): -0.221
Total magnetic moment (μB/cell): 0.00
Calculated volume (A^3/atom): 47.63
Space-group type: No. 216

***

First-principles (GGA-PBE) data for a relaxed structure of BaSr2Tl, as listed in Alexandria.

Geometry as CIF:
```
data_BaSr2Tl
_space_group_name_H-M_alt 'P 1'
_space_group_IT_number 1
_space_group_name_Hall 'P 1'
_cell_length_a 5.986
_cell_length_b 5.986
_cell_length_c 11.348
_cell_angle_alpha 105.29
_cell_angle_beta 105.29
_cell_angle_gamma 90.00
loop_
_atom_site_label
_atom_site_type_symbol
_atom_site_fract_x
_atom_site_fract_y
_atom_site_fract_z
Ba1 Ba 0.153 0.153 0.306
Ba2 Ba 0.847 0.847 0.694
Sr1 Sr 0.000 0.500 0.000
Sr2 Sr 0.500 0.000 0.000
Sr3 Sr 0.344 0.344 0.689
Sr4 Sr 0.656 0.656 0.311
Tl1 Tl 0.250 0.750 0.500
Tl2 Tl 0.750 0.250 0.500
```

Output
N(E_F) (states/eV/f.u.): 3.335
Raw total energy (eV per cell): -17.06
ΔE_f (eV per atom): -0.220
Total magnetic moment (μB/cell): 0.00
Calculated volume (A^3/atom): 47.15
Space-group type: No. 139

***

First-principles (GGA-PBE) data for a relaxed structure of Ba2Sr2Tl15, as listed in Alexandria.

Geometry as CIF:
```
data_Ba2Sr2Tl15
_space_group_name_H-M_alt 'P 1'
_space_group_IT_number 1
_space_group_name_Hall 'P 1'
_cell_length_a 8.774
_cell_length_b 8.774
_cell_length_c 8.774
_cell_angle_alpha 79.24
_cell_angle_beta 79.24
_cell_angle_gamma 79.24
loop_
_atom_site_label
_atom_site_type_symbol
_atom_site_fract_x
_atom_site_fract_y
_atom_site_fract_z
Ba1 Ba 0.357 0.357 0.357
Ba2 Ba 0.643 0.643 0.643
Sr1 Sr 0.106 0.106 0.106
Sr2 Sr 0.894 0.894 0.894
Tl1 Tl 0.500 0.000 0.000
Tl2 Tl 0.000 0.000 0.500
Tl3 Tl 0.000 0.500 0.000
Tl4 Tl 0.000 0.709 0.291
Tl5 Tl 0.709 0.291 0.000
Tl6 Tl 0.291 0.000 0.709
Tl7 Tl 0.291 0.709 0.000
Tl8 Tl 0.709 0.000 0.291
Tl9 Tl 0.000 0.291 0.709
Tl10 Tl 0.145 0.633 0.633
Tl11 Tl 0.633 0.633 0.145
Tl12 Tl 0.633 0.145 0.633
Tl13 Tl 0.855 0.367 0.367
Tl14 Tl 0.367 0.367 0.855
Tl15 Tl 0.367 0.855 0.367
```

Output
N(E_F) (states/eV/f.u.): 12.032
Raw total energy (eV per cell): -46.00
ΔE_f (eV per atom): -0.174
Total magnetic moment (μB/cell): 0.00
Calculated volume (A^3/atom): 33.89
Space-group type: No. 166

***

First-principles (GGA-PBE) data for a relaxed structure of Ba2SrTl6, as listed in Alexandria.

Geometry as CIF:
```
data_Ba2SrTl6
_space_group_name_H-M_alt 'P 1'
_space_group_IT_number 1
_space_group_name_Hall 'P 1'
_cell_length_a 6.968
_cell_length_b 7.296
_cell_length_c 7.296
_cell_angle_alpha 120.00
_cell_angle_beta 90.00
_cell_angle_gamma 90.00
loop_
_atom_site_label
_atom_site_type_symbol
_atom_site_fract_x
_atom_site_fract_y
_atom_site_fract_z
Ba1 Ba 0.334 0.667 0.333
Ba2 Ba 0.666 0.333 0.667
Sr1 Sr 0.500 0.000 0.000
Tl1 Tl 0.841 0.815 0.630
Tl2 Tl 0.841 0.815 0.185
Tl3 Tl 0.159 0.630 0.815
Tl4 Tl 0.841 0.370 0.185
Tl5 Tl 0.159 0.185 0.815
Tl6 Tl 0.159 0.185 0.370
```

Output
N(E_F) (states/eV/f.u.): 5.444
Raw total energy (eV per cell): -22.40
ΔE_f (eV per atom): -0.297
Total magnetic moment (μB/cell): 0.00
Calculated volume (A^3/atom): 35.70
Space-group type: No. 164

***

First-principles (GGA-PBE) data for a relaxed structure of BaSr2Tl2, as listed in Alexandria.

Geometry as CIF:
```
data_BaSr2Tl2
_space_group_name_H-M_alt 'P 1'
_space_group_IT_number 1
_space_group_name_Hall 'P 1'
_cell_length_a 9.959
_cell_length_b 9.959
_cell_length_c 3.866
_cell_angle_alpha 90.00
_cell_angle_beta 90.00
_cell_angle_gamma 90.00
loop_
_atom_site_label
_atom_site_type_symbol
_atom_site_fract_x
_atom_site_fract_y
_atom_site_fract_z
Sr1 Sr 0.369 0.869 0.000
Sr2 Sr 0.869 0.631 0.000
Sr3 Sr 0.631 0.131 0.000
Sr4 Sr 0.131 0.369 0.000
Tl1 Tl 0.167 0.667 0.500
Tl2 Tl 0.667 0.833 0.500
Tl3 Tl 0.833 0.333 0.500
Tl4 Tl 0.333 0.167 0.500
Ba1 Ba 0.000 0.000 0.000
Ba2 Ba 0.500 0.500 0.000
```

Output
N(E_F) (states/eV/f.u.): 4.286
Raw total energy (eV per cell): -23.09
ΔE_f (eV per atom): -0.305
Total magnetic moment (μB/cell): 0.00
Calculated volume (A^3/atom): 38.35
Space-group type: No. 127

***

First-principles (GGA-PBE) data for a relaxed structure of Ba2Sr5Tl3, as listed in Alexandria.

Geometry as CIF:
```
data_Ba2Sr5Tl3
_space_group_name_H-M_alt 'P 1'
_space_group_IT_number 1
_space_group_name_Hall 'P 1'
_cell_length_a 7.625
_cell_length_b 11.118
_cell_length_c 11.118
_cell_angle_alpha 102.12
_cell_angle_beta 98.12
_cell_angle_gamma 98.12
loop_
_atom_site_label
_atom_site_type_symbol
_atom_site_fract_x
_atom_site_fract_y
_atom_site_fract_z
Ba1 Ba 0.954 0.582 0.192
Ba2 Ba 0.454 0.192 0.582
Ba3 Ba 0.046 0.418 0.808
Ba4 Ba 0.546 0.808 0.418
Sr1 Sr 0.530 0.300 0.957
Sr2 Sr 0.030 0.957 0.300
Sr3 Sr 0.470 0.700 0.043
Sr4 Sr 0.970 0.043 0.700
Sr5 Sr 0.893 0.760 0.845
Sr6 Sr 0.107 0.240 0.155
Sr7 Sr 0.750 0.502 0.498
Sr8 Sr 0.250 0.498 0.502
Sr9 Sr 0.607 0.155 0.240
Sr10 Sr 0.393 0.845 0.760
Tl1 Tl 0.549 0.514 0.771
Tl2 Tl 0.049 0.771 0.514
Tl3 Tl 0.451 0.486 0.229
Tl4 Tl 0.951 0.229 0.486
Tl5 Tl 0.250 0.961 0.039
Tl6 Tl 0.750 0.039 0.961
```

Output
N(E_F) (states/eV/f.u.): 10.331
Raw total energy (eV per cell): -43.21
ΔE_f (eV per atom): -0.225
Total magnetic moment (μB/cell): 0.01
Calculated volume (A^3/atom): 44.90
Space-group type: No. 15

***

First-principles (GGA-PBE) data for a relaxed structure of Ba12SrTl6, as listed in Alexandria.

Geometry as CIF:
```
data_Ba12SrTl6
_space_group_name_H-M_alt 'P 1'
_space_group_IT_number 1
_space_group_name_Hall 'P 1'
_cell_length_a 10.837
_cell_length_b 10.837
_cell_length_c 10.837
_cell_angle_alpha 108.97
_cell_angle_beta 108.97
_cell_angle_gamma 108.97
loop_
_atom_site_label
_atom_site_type_symbol
_atom_site_fract_x
_atom_site_fract_y
_atom_site_fract_z
Ba1 Ba 0.878 0.619 0.568
Ba2 Ba 0.568 0.878 0.619
Ba3 Ba 0.619 0.568 0.878
Ba4 Ba 0.122 0.381 0.432
Ba5 Ba 0.432 0.122 0.381
Ba6 Ba 0.381 0.432 0.122
Ba7 Ba 0.029 0.843 0.341
Ba8 Ba 0.157 0.659 0.971
Ba9 Ba 0.659 0.971 0.157
Ba10 Ba 0.971 0.157 0.659
Ba11 Ba 0.843 0.341 0.029
Ba12 Ba 0.341 0.029 0.843
Sr1 Sr 0.000 0.000 0.000
Tl1 Tl 0.697 0.775 0.357
Tl2 Tl 0.643 0.303 0.225
Tl3 Tl 0.225 0.643 0.303
Tl4 Tl 0.303 0.225 0.643
Tl5 Tl 0.357 0.697 0.775
Tl6 Tl 0.775 0.357 0.697
```

Output
N(E_F) (states/eV/f.u.): 24.272
Raw total energy (eV per cell): -41.75
ΔE_f (eV per atom): -0.147
Total magnetic moment (μB/cell): 0.00
Calculated volume (A^3/atom): 52.51
Space-group type: No. 148